The following is a DFT calculation (PBE) of Ni3GeSb after structural relaxation.

## Properties
- Space-group type: Pm-3m, No. 221
- E above lowest polymorph: 448 meV/atom

Cell: 4.391 4.391 4.391 Å, 90.00 90.00 90.00°
Atoms (fractional coordinates):
Ni: 0.000 0.000 0.500
Ni: 0.500 0.000 0.000
Ni: 0.000 0.500 0.000
Ge: 0.000 0.000 0.000
Sb: 0.500 0.500 0.500